A plane-wave DFT calculation with PBE was carried out for GaBrN2 after structural relaxation.

Properties
N(E_F): 0.856 states/eV/atom
Energy: -0.1649 Ha/atom
Magnetization: 0.00 μB per formula unit
Energy relative to the elements, uncorrected: 0.850 eV/atom

Lattice parameters (Å, degrees): 3.2045 3.2045 18.0465 90.00 90.00 120.00
Space group R-3m (No. 166, hexagonal axes)
One atom of each set of equivalent atoms:
Ga (0.0000, 0.0000, 0.0000) [3 per cell]
Br (0.0000, 0.0000, 0.5000) [3 per cell]
N (0.0000, 0.0000, 0.3892) [6 per cell]

***

A plane-wave DFT calculation with PBE was carried out for GaBrN3 after structural relaxation.

Properties
N(E_F): 0.675 states/eV/atom
Energy: -0.1423 Ha/atom
Magnetization: 4.34 μB per formula unit
Energy relative to the elements, uncorrected: 2.062 eV/atom

Lattice parameters (Å, degrees): 4.040 4.040 4.040 90.00 90.00 90.00
Space group Pm-3m (No. 221)
One atom of each set of equivalent atoms:
Ga (0.000, 0.000, 0.000) [1 per cell]
Br (0.500, 0.500, 0.500) [1 per cell]
N (0.000, 0.000, 0.500) [3 per cell]

***

A plane-wave DFT calculation with PBE was carried out for GaBrN2 after structural relaxation.

Properties
N(E_F): 0.510 states/eV/atom
Energy: -0.1334 Ha/atom
Magnetization: 0.00 μB per formula unit
Energy relative to the elements, uncorrected: 1.707 eV/atom

Lattice parameters (Å, degrees): 3.8011 3.8011 16.5366 90.00 90.00 120.00
Space group R-3m (No. 166, hexagonal axes)
One atom of each set of equivalent atoms:
Ga (0.0000, 0.0000, 0.0000) [3 per cell]
Br (0.0000, 0.0000, 0.5000) [3 per cell]
N (0.0000, 0.0000, 0.1102) [6 per cell]

***

A plane-wave DFT calculation with PBE was carried out for GaBrN2 after structural relaxation.

Properties
N(E_F): 0.931 states/eV/atom
Energy: -0.1169 Ha/atom
Magnetization: 0.00 μB per formula unit
Energy relative to the elements, uncorrected: 2.157 eV/atom

Lattice parameters (Å, degrees): 5.818 5.818 5.818 90.00 90.00 90.00
Space group Fm-3m (No. 225)
One atom of each set of equivalent atoms:
Ga (0.000, 0.000, 0.000) [4 per cell]
Br (0.000, 0.000, 0.500) [4 per cell]
N (0.250, 0.250, 0.250) [8 per cell]

***

A plane-wave DFT calculation with PBE was carried out for GaBrN3 after structural relaxation.

Properties
N(E_F): 0.480 states/eV/atom
Energy: -0.1255 Ha/atom
Magnetization: 0.00 μB per formula unit
Energy relative to the elements, uncorrected: 2.521 eV/atom

Lattice parameters (Å, degrees): 3.887 3.887 3.887 90.00 90.00 90.00
Space group Pm-3m (No. 221)
One atom of each set of equivalent atoms:
Ga (0.000, 0.000, 0.000) [1 per cell]
Br (0.500, 0.500, 0.500) [1 per cell]
N (0.000, 0.500, 0.500) [3 per cell]

***

A plane-wave DFT calculation with PBE was carried out for Ga2BrN after structural relaxation.

Properties
N(E_F): 0.582 states/eV/atom
Energy: -0.1129 Ha/atom
Magnetization: 0.00 μB per formula unit
Energy relative to the elements, uncorrected: 0.941 eV/atom

Lattice parameters (Å, degrees): 6.554 6.554 6.554 90.00 90.00 90.00
Space group Fm-3m (No. 225)
One atom of each set of equivalent atoms:
Ga (0.250, 0.250, 0.250) [8 per cell]
Br (0.000, 0.000, 0.000) [4 per cell]
N (0.000, 0.000, 0.500) [4 per cell]

***

A plane-wave DFT calculation with PBE was carried out for GaBrN2 after structural relaxation.

Properties
N(E_F): 0.109 states/eV/atom
Energy: -0.1530 Ha/atom
Magnetization: 0.00 μB per formula unit
Energy relative to the elements, uncorrected: 1.175 eV/atom

Lattice parameters (Å, degrees): 5.377 5.377 8.040 90.00 90.00 90.00
Space group I-42d (No. 122)
One atom of each set of equivalent atoms:
Ga (0.000, 0.000, 0.000) [4 per cell]
Br (0.000, 0.000, 0.500) [4 per cell]
N (0.183, 0.250, 0.125) [8 per cell]

***

A plane-wave DFT calculation with PBE was carried out for Ga2BrN after structural relaxation.

Properties
N(E_F): 0.009 states/eV/atom
Energy: -0.1439 Ha/atom
Magnetization: 0.00 μB per formula unit
Energy relative to the elements, uncorrected: 0.099 eV/atom

Lattice parameters (Å, degrees): 5.335 5.335 11.864 90.00 90.00 90.00
Space group I-42d (No. 122)
One atom of each set of equivalent atoms:
Ga (0.081, 0.250, 0.125) [8 per cell]
Br (0.000, 0.000, 0.500) [4 per cell]
N (0.000, 0.000, 0.000) [4 per cell]

***

A plane-wave DFT calculation with PBE was carried out for GaBrN2O after structural relaxation.

Properties
N(E_F): 0.658 states/eV/atom
Energy: -0.1272 Ha/atom
Magnetization: 0.00 μB per formula unit
Energy relative to the elements, uncorrected: 1.800 eV/atom

Lattice parameters (Å, degrees): 4.047 4.047 3.852 90.00 90.00 90.00
Space group P4/mmm (No. 123)
One atom of each set of equivalent atoms:
Ga (0.000, 0.000, 0.000) [1 per cell]
Br (0.500, 0.500, 0.500) [1 per cell]
N (0.000, 0.500, 0.500) [2 per cell]
O (0.500, 0.500, 0.000) [1 per cell]

***

A plane-wave DFT calculation with PBE was carried out for GaBrNO2 after structural relaxation.

Properties
N(E_F): 0.920 states/eV/atom
Energy: -0.1453 Ha/atom
Magnetization: 0.14 μB per formula unit
Energy relative to the elements, uncorrected: 0.636 eV/atom

Lattice parameters (Å, degrees): 3.796 3.796 4.250 90.00 90.00 90.00
Space group P4/mmm (No. 123)
One atom of each set of equivalent atoms:
Ga (0.000, 0.000, 0.000) [1 per cell]
Br (0.500, 0.500, 0.500) [1 per cell]
N (0.000, 0.000, 0.500) [1 per cell]
O (0.000, 0.500, 0.000) [2 per cell]

***

A plane-wave DFT calculation with PBE was carried out for GaBrNO2 after structural relaxation.

Properties
N(E_F): 0.335 states/eV/atom
Energy: -0.1298 Ha/atom
Magnetization: 0.00 μB per formula unit
Energy relative to the elements, uncorrected: 1.058 eV/atom

Lattice parameters (Å, degrees): 3.901 3.901 4.231 90.00 90.00 90.00
Space group P4/mmm (No. 123)
One atom of each set of equivalent atoms:
Ga (0.000, 0.000, 0.000) [1 per cell]
Br (0.500, 0.500, 0.500) [1 per cell]
N (0.500, 0.500, 0.000) [1 per cell]
O (0.000, 0.500, 0.500) [2 per cell]

***

A plane-wave DFT calculation with PBE was carried out for GaBrN2O after structural relaxation.

Properties
N(E_F): 0.355 states/eV/atom
Energy: -0.1446 Ha/atom
Magnetization: 2.30 μB per formula unit
Energy relative to the elements, uncorrected: 1.326 eV/atom

Lattice parameters (Å, degrees): 4.161 4.161 3.828 90.00 90.00 90.00
Space group P4/mmm (No. 123)
One atom of each set of equivalent atoms:
Ga (0.000, 0.000, 0.000) [1 per cell]
Br (0.500, 0.500, 0.500) [1 per cell]
N (0.000, 0.500, 0.000) [2 per cell]
O (0.000, 0.000, 0.500) [1 per cell]

***

Repeat the twelfth record exactly.
A plane-wave DFT calculation with PBE was carried out for GaBrN2O after structural relaxation.

Properties
N(E_F): 0.355 states/eV/atom
Energy: -0.1446 Ha/atom
Magnetization: 2.30 μB per formula unit
Energy relative to the elements, uncorrected: 1.326 eV/atom

Lattice parameters (Å, degrees): 4.161 4.161 3.828 90.00 90.00 90.00
Space group P4/mmm (No. 123)
One atom of each set of equivalent atoms:
Ga (0.000, 0.000, 0.000) [1 per cell]
Br (0.500, 0.500, 0.500) [1 per cell]
N (0.000, 0.500, 0.000) [2 per cell]
O (0.000, 0.000, 0.500) [1 per cell]

***

Q: Which value of magnetization does entry 9 give?
A: 0.00 μB per formula unit

***

Q: What is the magnetization in the eleventh record?
A: 0.00 μB per formula unit